# 1
20
Lattice="-1.3265 0.1107 3.2467 5.4004 -7.9756 2.4783 7.4576 5.9336 2.8447" Properties=species:S:1:pos:R:3 comment="GGA-PBE Dy2Al2InRh5, relaxed" crystal_system=tetragonal formation_energy_ev_per_atom=-0.84 space_group="P4/mbm, No. 127" pbc="T T T"
Dy 4.9618 -4.3470 2.1754
Dy 7.8962 2.3050 3.1476
Dy 3.3670 0.5203 1.3579
Dy 9.4911 -2.5623 3.9651
Al 5.2952 2.7181 2.0708
Al 7.5629 -4.7600 3.2522
Al 9.9072 0.2514 4.0392
Al 2.9508 -2.2934 1.2838
In 0.0000 0.0000 0.0000
In 6.4290 -1.0210 2.6615
Rh 0.9852 -1.2156 2.3402
Rh 10.5464 -0.7157 6.2296
Rh 5.5958 4.1928 4.0396
Rh 6.3902 -3.0514 4.6111
Rh 5.9357 -6.1241 4.5302
Rh 5.1413 1.1201 3.9586
Rh 7.7059 -0.2646 5.0536
Rh 3.8257 -1.6667 3.5161
Rh 2.0369 -3.9325 2.8625
Rh 3.0656 3.0222 3.0457



# 2
3
Lattice="-5.5666 1.1831 -0.9717 -4.6178 -0.2871 -3.4534 -1.5105 -2.4791 0.8907" Properties=species:S:1:pos:R:3 comment="GGA-PBE SbIrRu, relaxed" crystal_system=tetragonal e_form_raw_ev_per_atom=0.351 space_group="I4mm, No. 107" pbc="T T T"
Ir -1.5155 -2.4772 0.8877
Ru -4.3666 -1.3678 -0.8596
Sb -7.3234 -0.2173 -2.6717



# 3
4
Lattice="-1.8866 -2.5922 1.5278 0.4733 -3.1384 -4.7405 3.2413 -3.5261 -1.9803" Properties=species:S:1:pos:R:3 comment="GGA-PBE Co2HgTe, relaxed" crystal_system=monoclinic e_form_raw_ev_per_atom=0.481 space_group="P2/m, No. 10" pbc="T T T"
Co 0.0000 0.0000 0.0000
Co -0.7067 -2.8653 -1.6064
Hg 0.9140 -4.6284 -2.5965
Te 1.6206 -1.7631 -0.9901



# 4
11
Lattice="6.1139 0.0000 0.0000 -3.0569 5.2948 0.0000 0.0000 0.0000 11.8318" Properties=species:S:1:pos:R:3 comment="GGA-PBE LaPm5Er5, relaxed" crystal_system=hexagonal formation_energy_ev_per_atom=0.29 space_group="P-6m2, No. 187" pbc="T T T"
La 0.0000 3.5298 0.0000
Pm 3.0569 1.7649 1.8543
Pm 3.0569 1.7649 9.9775
Pm 0.0000 3.5298 3.8142
Pm 0.0000 3.5298 8.0176
Pm 0.0000 0.0000 0.0000
Er 1.5244 0.8801 5.9159
Er 0.0000 0.0000 3.1496
Er 3.0569 3.5346 5.9159
Er 4.5895 0.8801 5.9159
Er 0.0000 0.0000 8.6823



# 5
5
Lattice="-1.5830 -1.7665 4.0628 4.3309 0.2914 1.8141 -0.9328 4.3506 1.5282" Properties=species:S:1:pos:R:3 comment="GGA-PBE MgTc3Mo, relaxed" crystal_system=cubic formation_energy_ev_per_atom=1.43 space_group="Pm-3m, No. 221" pbc="T T T"
Mg 0.9076 1.4377 3.7026
Mo 0.0000 0.0000 0.0000
Tc 2.1655 0.1457 0.9071
Tc -0.4664 2.1753 0.7641
Tc -0.7915 -0.8833 2.0314



# 6
6
Lattice="3.8452 0.0000 0.0000 1.9226 3.3300 0.0000 1.9226 1.1100 11.2966" Properties=species:S:1:pos:R:3 comment="GGA-PBE TmFePb, relaxed" crystal_system=trigonal formation_energy_ev_per_atom=-0.14 space_group="R-3m, No. 166" pbc="T T T"
Tm 3.8452 2.2200 3.8138
Tm 3.8452 2.2200 7.4828
Pb 1.9226 1.1100 1.1801
Pb 5.7677 3.3300 10.1165
Fe 5.7677 3.3300 5.6444
Fe 1.9226 1.1100 5.6522



# 7
7
Lattice="4.2572 0.0000 1.3301 1.9209 3.7993 1.3301 -0.0476 -0.0293 7.6307" Properties=species:S:1:pos:R:3 comment="GGA-PBE Mg4Cu2Pd, relaxed" crystal_system=trigonal formation_energy_ev_per_atom=-0.25 space_group="R-3m, No. 166" pbc="T T T"
Mg 5.3672 3.3006 5.2557
Mg 0.7633 0.4694 5.0351
Mg 3.8259 2.3528 2.7107
Mg 2.3046 1.4172 7.5801
Cu 4.5641 2.8067 7.8262
Cu 1.5664 0.9633 2.4646
Pd 0.0000 0.0000 0.0000



# 8
10
Lattice="-1.7560 1.0053 2.6983 2.5229 -0.9862 2.0093 7.4109 16.3636 -1.2738" Properties=species:S:1:pos:R:3 comment="GGA-PBE ThZr5Zn4, relaxed" crystal_system=tetragonal formation_energy_ev_per_atom=-0.19 space_group="P4/mmm, No. 123" pbc="T T T"
Th 0.0000 0.0000 0.0000
Zr 1.3691 2.1859 2.1844
Zr 2.7317 5.1947 1.9502
Zr 4.0889 8.1914 1.7169
Zr 5.4461 11.1881 1.4836
Zr 6.8087 14.1969 1.2494
Zn 1.6630 3.6719 -0.2858
Zn 3.0287 6.6876 -0.5206
Zn 4.3822 9.6761 -0.7532
Zn 5.7479 12.6917 -0.9880



Number 1: density 9648 kg/m³, D(E_F) 0.4936 states/eV/atom. Number 2: density 13946 kg/m³, D(E_F) 1.2566 states/eV/atom. Number 3: density 10551 kg/m³, D(E_F) 1.3445 states/eV/atom. Number 4: density 7371 kg/m³, D(E_F) 2.0740 states/eV/atom. Number 5: density 6606 kg/m³, D(E_F) 1.0938 states/eV/atom. Number 6: density 9918 kg/m³, D(E_F) 0.7430 states/eV/atom. Number 7: density 4438 kg/m³, D(E_F) 0.2386 states/eV/atom. Number 8: density 7699 kg/m³, D(E_F) 0.7707 states/eV/atom.